Here is a relaxed AlCu2Pt crystal from the Alexandria database. Energies are from GGA-PBEsol.

Energy of formation: -47 kJ per mole of atoms
Space-group type: I-4m2 (119)
V: 12.84 Å³/atom
M_tot: 0.00 μB/atom
E_tot: -5.4153 eV per atom

```
AlCu2Pt
1.0
-2.147 -0.210 3.073
-1.616 -3.112 -1.342
4.425 -0.366 0.773
Cu Pt Al
2 1 1
Cartesian
0.000 0.000 0.000 Cu
0.198 -1.118 2.356 Cu
-1.882 -1.661 0.866 Pt
0.463 -2.570 0.148 Al
```